Entry 1:
Entry from Alexandria via LeMat-Bulk: a relaxed structure of ZrMnAs2 (PBE).

```
ZrMnAs2
1.0
1.996 -2.601 0.000
1.996 2.601 0.000
0.000 0.000 6.903
Zr Mn As
1 1 2
Cartesian
0.000 0.000 0.000 Zr
0.000 0.000 3.451 Mn
1.996 0.000 1.856 As
1.996 0.000 5.047 As
```

Output
Space group: No. 65
ρ, g cm⁻³: 6.860
Uncorrected energy, eV per atom: -7.09
Density of states at the Fermi level, states/eV/f.u.: 2.81
Calculated formation energy, meV/atom: -333.5

***

Entry 2:
Entry from Alexandria via LeMat-Bulk: a relaxed structure of VGa3Fe (PBE).

```
VGa3Fe
1.0
4.494 0.000 0.000
0.000 4.494 0.000
0.000 0.000 4.494
V Ga Fe
1 3 1
Cartesian
0.000 0.000 0.000 V
0.000 2.247 2.247 Ga
2.247 0.000 2.247 Ga
2.247 2.247 0.000 Ga
2.247 2.247 2.247 Fe
```

Output
Space group: No. 221
ρ, g cm⁻³: 5.782
Excess energy over the best structure of this formula in the dataset, kJ per mole of atoms: 0.0
Uncorrected energy, eV per atom: -4.96
Density of states at the Fermi level, states/eV/f.u.: 3.81
Calculated formation energy, meV/atom: 368.8

***

Entry 3:
Entry from Alexandria via LeMat-Bulk: a relaxed structure of PrInGa (PBE).

```
PrInGa
1.0
-1.780 1.780 6.023
1.780 -1.780 6.023
1.780 1.780 -6.023
Pr In Ga
1 1 1
Cartesian
0.000 0.000 0.000 Pr
0.000 0.000 8.383 In
0.000 0.000 3.976 Ga
```

Output
Space group: No. 107
ρ, g cm⁻³: 7.083
Excess energy over the best structure of this formula in the dataset, kJ per mole of atoms: 18.0
Uncorrected energy, eV per atom: -3.86
Density of states at the Fermi level, states/eV/f.u.: 2.62
Calculated formation energy, meV/atom: -347.4

***

Entry 4:
Entry from Alexandria via LeMat-Bulk: a relaxed structure of La3TlN (PBE).

```
La3TlN
1.0
4.236 0.000 0.000
-2.118 3.669 0.000
0.000 0.000 19.687
La Tl N
6 2 2
Cartesian
0.000 0.000 4.922 La
0.000 0.000 14.766 La
0.000 2.446 2.358 La
0.000 2.446 7.486 La
2.118 1.223 12.202 La
2.118 1.223 17.330 La
0.000 0.000 0.000 Tl
0.000 0.000 9.844 Tl
0.000 2.446 4.922 N
2.118 1.223 14.766 N
```

Output
Space group: No. 194
ρ, g cm⁻³: 6.894
Uncorrected energy, eV per atom: -5.66
Density of states at the Fermi level, states/eV/f.u.: 5.56
Uncorrected formation energy, eV per atom: -0.565

***

Entry 5:
Entry from Alexandria via LeMat-Bulk: a relaxed structure of ErIn2Bi (PBE).

```
ErIn2Bi
1.0
4.767 0.000 0.000
0.000 4.767 0.000
0.000 0.000 4.743
Er In Bi
1 2 1
Cartesian
0.000 0.000 0.000 Er
0.000 2.383 2.372 In
2.383 0.000 2.372 In
2.383 2.383 0.000 Bi
```

Output
Space group: No. 123
ρ, g cm⁻³: 9.334
Uncorrected energy, eV per atom: -3.81
Density of states at the Fermi level, states/eV/f.u.: 1.61
Calculated formation energy, meV/atom: -329.1

***

Entry 6:
Entry from Alexandria via LeMat-Bulk: a relaxed structure of RbYTi (PBE).

```
RbYTi
1.0
15.915 0.000 0.000
0.000 3.386 0.000
0.000 0.000 8.436
Rb Y Ti
4 4 4
Cartesian
3.607 0.846 1.127 Rb
4.350 2.539 5.345 Rb
11.565 0.846 3.091 Rb
12.308 2.539 7.309 Rb
0.395 0.846 6.838 Y
7.563 2.539 2.620 Y
8.352 0.846 5.817 Y
15.521 2.539 1.599 Y
0.961 0.846 3.840 Ti
6.997 2.539 8.058 Ti
8.919 0.846 0.378 Ti
14.954 2.539 4.596 Ti
```

Output
Space group: No. 62
ρ, g cm⁻³: 3.247
Excess energy over the best structure of this formula in the dataset, kJ per mole of atoms: 36.3
Uncorrected energy, eV per atom: -4.46
Density of states at the Fermi level, states/eV/f.u.: 3.44
Calculated formation energy, meV/atom: 649.8

***

Entry 7:
Entry from Alexandria via LeMat-Bulk: a relaxed structure of Si2BrF (PBE).

```
Si2BrF
1.0
0.000 3.298 3.298
3.298 0.000 3.298
3.298 3.298 0.000
Si Br F
2 1 1
Cartesian
1.649 1.649 1.649 Si
4.948 4.948 4.948 Si
0.000 0.000 0.000 Br
3.298 3.298 3.298 F
```

Output
Space group: No. 225
ρ, g cm⁻³: 3.588
Excess energy over the best structure of this formula in the dataset, kJ per mole of atoms: 49.8
Uncorrected energy, eV per atom: -3.30
Density of states at the Fermi level, states/eV/f.u.: 3.34
Uncorrected formation energy, eV per atom: 0.294